This record from Alexandria describes a relaxed structure of Sc2HgPb. The functional is GGA-PBE.

Computed properties:
V: 203.50 Å³/cell

a = 7.8459 Å, b = 7.8459 Å, c = 6.4582 Å
α = 52.60°, β = 52.60°, γ = 90.00°
Fractional positions:
Sc 0.8750 0.8635 0.7500
Hg 0.5000 0.5000 0.0000
Sc 0.1365 0.6250 0.2500
Sc 0.6135 0.1250 0.2500
Sc 0.3750 0.3865 0.7500
Pb 0.7500 0.2500 0.5000
Pb 0.0000 0.0000 0.0000
Hg 0.2500 0.7500 0.5000

This record from Alexandria describes a relaxed structure of ScHg2Pb. The functional is GGA-PBE.

Computed properties:
V: 99.52 Å³/cell

a = 6.2772 Å, b = 6.2772 Å, c = 5.3772 Å
α = 65.01°, β = 65.01°, γ = 31.52°
Fractional positions:
Hg 0.9777 0.9777 0.0221
Hg 0.5223 0.5223 0.4779
Sc 0.2500 0.2500 0.2500
Pb 0.7500 0.7500 0.7500

This record from Alexandria describes a relaxed structure of Sc6Hg8Pb. The functional is GGA-PBE.

Computed properties:
V: 367.75 Å³/cell

a = 7.7736 Å, b = 7.7736 Å, c = 7.7736 Å
α = 64.90°, β = 64.90°, γ = 64.90°
Fractional positions:
Sc 0.3076 0.9031 0.6155
Hg 0.9106 0.1979 0.5414
Hg 0.5414 0.9106 0.1979
Sc 0.6924 0.0969 0.3845
Pb 0.0000 0.0000 0.0000
Sc 0.3845 0.6924 0.0969
Sc 0.6155 0.3076 0.9031
Hg 0.4586 0.0894 0.8021
Hg 0.0894 0.8021 0.4586
Sc 0.0969 0.3845 0.6924
Hg 0.6928 0.6928 0.6928
Hg 0.1979 0.5414 0.9106
Hg 0.3073 0.3073 0.3073
Hg 0.8021 0.4586 0.0894
Sc 0.9031 0.6155 0.3076

This record from Alexandria describes a relaxed structure of Sc2Hg2Pb. The functional is GGA-PBE.

Computed properties:
V: 119.65 Å³/cell
energy above the most stable polymorph in this dataset: 12 kJ/mol of formula units

a = 3.3372 Å, b = 3.4005 Å, c = 10.6795 Å
α = 80.84°, β = 90.00°, γ = 90.00°
Fractional positions:
Sc 0.5000 0.6026 0.7947
Hg 0.0000 0.8087 0.3825
Hg 0.0000 0.1913 0.6175
Sc 0.5000 0.3974 0.2053
Pb 0.0000 0.0000 0.0000

This record from Alexandria describes a relaxed structure of ScHgPb4. The functional is GGA-PBE.

Computed properties:
V: 185.27 Å³/cell

a = 6.3989 Å, b = 6.3989 Å, c = 6.3989 Å
α = 60.00°, β = 60.00°, γ = 60.00°
Fractional positions:
Pb 0.8721 0.3760 0.3760
Hg 0.0000 0.0000 0.0000
Sc 0.7500 0.7500 0.7500
Pb 0.3760 0.3760 0.3760
Pb 0.3760 0.8721 0.3760
Pb 0.3760 0.3760 0.8721

This record from Alexandria describes a relaxed structure of Sc4Hg5Pb. The functional is GGA-PBE.

Computed properties:
V: 229.89 Å³/cell

a = 3.5526 Å, b = 3.5526 Å, c = 18.2144 Å
α = 90.00°, β = 90.00°, γ = 90.00°
Fractional positions:
Hg 0.5000 0.5000 0.8785
Sc 0.0000 0.0000 0.4051
Sc 0.0000 0.0000 0.2120
Sc 0.0000 0.0000 0.5949
Hg 0.5000 0.5000 0.5000
Pb 0.0000 0.0000 0.0000
Sc 0.0000 0.0000 0.7880
Hg 0.5000 0.5000 0.1215
Hg 0.5000 0.5000 0.3129
Hg 0.5000 0.5000 0.6871

Number 1: E_form -0.1231 eV per atom. Number 2: E_form -0.1927 eV per atom. Number 3: E_form -0.2520 eV per atom. Number 4: E_form -0.2561 eV per atom. Number 5: E_form 0.1776 eV per atom. Number 6: E_form -0.3317 eV per atom.